#w
## AlCo3Sn (GGA-PBE)

Data for AlCo3Sn after structural relaxation.

Unit cell a=4.6097 b=4.6097 c=4.6097 alpha=90.00 beta=90.00 gamma=90.00
Last column: nearest neighbours and their distance in Å.
Space group Pm-3m (No. 221)
Asymmetric unit:
1 Al 0.0000 0.0000 0.0000 (multiplicity 1)  12 Co 3.26
2 Co 0.0000 0.5000 0.5000 (multiplicity 3)  2 Sn 2.30
3 Sn 0.5000 0.5000 0.5000 (multiplicity 1)  6 Co 2.30

#x
## AlCo3Sn (GGA-PBE)

Data for AlCo3Sn after structural relaxation.

Unit cell a=4.2607 b=4.2607 c=4.2607 alpha=90.00 beta=90.00 gamma=90.00
Last column: nearest neighbours and their distance in Å.
Space group Pm-3m (No. 221)
Asymmetric unit:
1 Al 0.0000 0.0000 0.0000 (multiplicity 1)  6 Co 2.13
2 Co 0.0000 0.0000 0.5000 (multiplicity 3)  2 Al 2.13
3 Sn 0.5000 0.5000 0.5000 (multiplicity 1)  12 Co 3.01

Energy above the most stable structure, in kJ/mol of atoms: #w 60.4; #x 0.0

#w
## SrAlCo3 (GGA-PBE)

Data for SrAlCo3 after structural relaxation.

Unit cell a=4.6495 b=4.6495 c=4.6495 alpha=90.00 beta=90.00 gamma=90.00
Last column: nearest neighbours and their distance in Å.
Space group Pm-3m (No. 221)
Asymmetric unit:
1 Sr 0.0000 0.0000 0.0000 (multiplicity 1)  6 Co 2.32
2 Al 0.5000 0.5000 0.5000 (multiplicity 1)  12 Co 3.29
3 Co 0.0000 0.0000 0.5000 (multiplicity 3)  2 Sr 2.32

#x
## SrAlCo3 (GGA-PBE)

Data for SrAlCo3 after structural relaxation.

Unit cell a=4.5164 b=4.5164 c=4.5164 alpha=90.00 beta=90.00 gamma=90.00
Last column: nearest neighbours and their distance in Å.
Space group Pm-3m (No. 221)
Asymmetric unit:
1 Sr 0.0000 0.0000 0.0000 (multiplicity 1)  12 Co 3.19
2 Al 0.5000 0.5000 0.5000 (multiplicity 1)  6 Co 2.26
3 Co 0.0000 0.5000 0.5000 (multiplicity 3)  2 Al 2.26

Energy above the most stable structure, in kJ/mol of atoms: #w 142.1; #x 0.0

#w
## Sr2TiAlCo (GGA-PBE)

Data for Sr2TiAlCo after structural relaxation.

Unit cell a=6.1936 b=6.1936 c=4.0932 alpha=90.00 beta=90.00 gamma=90.00
Last column: nearest neighbours and their distance in Å.
Space group P4/mmm (No. 123)
Asymmetric unit:
1 Sr 0.0000 0.5000 0.0000 (multiplicity 2)  2 Ti 3.10
2 Ti 0.0000 0.0000 0.0000 (multiplicity 1)  2 Co 2.05
3 Al 0.5000 0.5000 0.5000 (multiplicity 1)  8 Sr 3.71, 2 Al 4.09
4 Co 0.0000 0.0000 0.5000 (multiplicity 1)  2 Ti 2.05

#x
## Sr2TiAlCo (GGA-PBE)

Data for Sr2TiAlCo after structural relaxation.

Unit cell a=6.0450 b=6.0450 c=4.3306 alpha=90.00 beta=90.00 gamma=90.00
Last column: nearest neighbours and their distance in Å.
Space group P4/mmm (No. 123)
Asymmetric unit:
1 Sr 0.0000 0.5000 0.0000 (multiplicity 2)  2 Al 3.02
2 Ti 0.0000 0.0000 0.5000 (multiplicity 1)  8 Sr 3.72
3 Al 0.5000 0.5000 0.0000 (multiplicity 1)  2 Co 2.17
4 Co 0.5000 0.5000 0.5000 (multiplicity 1)  2 Al 2.17

Energy above the most stable structure, in kJ/mol of atoms: #w 0.0; #x 22.7

#w
## TaAlCo3 (GGA-PBE)

Data for TaAlCo3 after structural relaxation.

Unit cell a=4.1258 b=4.1258 c=4.1258 alpha=90.00 beta=90.00 gamma=90.00
Last column: nearest neighbours and their distance in Å.
Space group Pm-3m (No. 221)
Asymmetric unit:
1 Ta 0.0000 0.0000 0.0000 (multiplicity 1)  12 Co 2.92
2 Al 0.5000 0.5000 0.5000 (multiplicity 1)  6 Co 2.06
3 Co 0.0000 0.5000 0.5000 (multiplicity 3)  2 Al 2.06

#x
## TaAlCo3 (GGA-PBE)

Data for TaAlCo3 after structural relaxation.

Unit cell a=4.4310 b=4.4310 c=4.4310 alpha=90.00 beta=90.00 gamma=90.00
Last column: nearest neighbours and their distance in Å.
Space group Pm-3m (No. 221)
Asymmetric unit:
1 Ta 0.0000 0.0000 0.0000 (multiplicity 1)  6 Co 2.22
2 Al 0.5000 0.5000 0.5000 (multiplicity 1)  12 Co 3.13
3 Co 0.0000 0.0000 0.5000 (multiplicity 3)  2 Ta 2.22

Energy above the most stable structure, in kJ/mol of atoms: #w 0.0; #x 48.3

#w
## Ta4AlCo (GGA-PBE)

Data for Ta4AlCo after structural relaxation.

Unit cell a=6.2861 b=6.2861 c=5.0456 alpha=90.00 beta=90.00 gamma=90.00
Last column: nearest neighbours and their distance in Å.
Space group P4/mcc (No. 124)
Asymmetric unit:
1 Ta 0.1443 0.3285 0.0000 (multiplicity 8)  2 Co 2.58, 2 Al 2.78, 1 Ta 2.82
2 Al 0.5000 0.5000 0.2500 (multiplicity 2)  2 Al 2.52, 8 Ta 2.78
3 Co 0.0000 0.0000 0.2500 (multiplicity 2)  2 Co 2.52, 8 Ta 2.58

#x
## Ta4AlCo (GGA-PBE)

Data for Ta4AlCo after structural relaxation.

Unit cell a=7.5889 b=7.5889 c=7.5889 alpha=90.00 beta=90.00 gamma=90.00
Last column: nearest neighbours and their distance in Å.
Space group F-43m (No. 216)
Asymmetric unit:
1 Ta 0.1244 0.1244 0.1244 (multiplicity 16)  6 Ta 2.67-2.70
2 Al 0.2500 0.2500 0.7500 (multiplicity 4)  12 Ta 3.14, 4 Co 3.29
3 Co 0.0000 0.0000 0.5000 (multiplicity 4)  12 Ta 3.15, 4 Al 3.29

Energy above the most stable structure, in kJ/mol of atoms: #w 0.0; #x 70.2

#w
## TbAlCo4 (GGA-PBE)

Data for TbAlCo4 after structural relaxation.

Unit cell a=6.9314 b=6.9314 c=6.9314 alpha=90.00 beta=90.00 gamma=90.00
Last column: nearest neighbours and their distance in Å.
Space group F-43m (No. 216)
Asymmetric unit:
1 Tb 0.0000 0.0000 0.0000 (multiplicity 4)  12 Co 2.88, 4 Al 3.00
2 Al 0.2500 0.2500 0.7500 (multiplicity 4)  12 Co 2.87, 4 Tb 3.00
3 Co 0.1238 0.1238 0.3762 (multiplicity 16)  6 Co 2.43-2.48

#x
## TbAlCo4 (GGA-PBE)

Data for TbAlCo4 after structural relaxation.

Unit cell a=4.9169 b=8.7164 c=4.0187 alpha=90.00 beta=90.00 gamma=90.00
Last column: nearest neighbours and their distance in Å.
Space group Cmmm (No. 65)
Asymmetric unit:
1 Tb 0.0000 0.0000 0.0000 (multiplicity 2)  6 Co 2.76-2.93
2 Al 0.0000 0.5000 0.5000 (multiplicity 2)  8 Co 2.50-2.57
3 Co 0.0000 0.3163 0.0000 (multiplicity 4)  4 Co 2.43, 2 Al 2.57
4 Co 0.2500 0.2500 0.5000 (multiplicity 4)  6 Co 2.43-2.46, 2 Al 2.50

Energy above the most stable structure, in kJ/mol of atoms: #w 3.3; #x 0.0

#w
## Tb4AlCo (GGA-PBE)

Data for Tb4AlCo after structural relaxation.

Unit cell a=13.3558 b=13.3558 c=13.3558 alpha=90.00 beta=90.00 gamma=90.00
Last column: nearest neighbours and their distance in Å.
Space group F-43m (No. 216)
Asymmetric unit:
1 Tb 0.0000 0.0000 0.1879 (multiplicity 24)  2 Al 3.28, 10 Tb 3.41-3.55, 2 Co 3.41
2 Tb 0.0577 0.2500 0.2500 (multiplicity 24)  2 Co 2.74
3 Tb 0.0990 0.0990 0.5990 (multiplicity 16)  3 Co 2.79
4 Al 0.1735 0.1735 0.8265 (multiplicity 16)  3 Al 2.89
5 Co 0.1094 0.1094 0.3906 (multiplicity 16)  6 Tb 2.74-2.79

#x
## Tb4AlCo (GGA-PBE)

Data for Tb4AlCo after structural relaxation.

Unit cell a=8.6291 b=12.6213 c=5.9861 alpha=90.00 beta=107.24 gamma=90.00
Last column: nearest neighbours and their distance in Å.
Space group C2/c (No. 15)
Asymmetric unit:
1 Tb 0.1091 0.1652 0.0436 (multiplicity 8)  2 Co 2.72
2 Tb 0.2092 0.4191 0.3958 (multiplicity 8)  2 Co 2.94-3.07, 2 Al 3.12-3.21
3 Al 0.0000 0.3766 0.7500 (multiplicity 4)  8 Tb 3.12-3.27
4 Co 0.0000 0.0008 0.2500 (multiplicity 4)  6 Tb 2.72-2.94, 2 Co 2.99

Energy above the most stable structure, in kJ/mol of atoms: #w 0.0; #x 7.2

#w
## AlCo2Te (GGA-PBE)

Data for AlCo2Te after structural relaxation.

Unit cell a=4.5405 b=3.2089 c=8.8626 alpha=90.00 beta=90.00 gamma=90.00
Last column: nearest neighbours and their distance in Å.
Space group Amm2 (No. 38)
Asymmetric unit:
1 Al 0.0000 0.0000 0.0000 (multiplicity 2)  4 Co 2.38-2.47
2 Co 0.0000 0.0000 0.6979 (multiplicity 2)  2 Al 2.38, 2 Te 2.50
3 Co 0.5000 0.0000 0.1092 (multiplicity 2)  3 Te 2.43-2.60, 2 Al 2.47
4 Te 0.5000 0.0000 0.8156 (multiplicity 2)  5 Co 2.43-2.60

#x
## AlCo2Te (GGA-PBE)

Data for AlCo2Te after structural relaxation.

Unit cell a=8.7096 b=3.3109 c=4.1010 alpha=90.00 beta=102.82 gamma=90.00
Last column: nearest neighbours and their distance in Å.
Space group Cm (No. 8)
Asymmetric unit:
1 Al 0.0000 0.0000 0.0000 (multiplicity 2)  7 Co 2.48-2.70
2 Co 0.0112 0.5000 0.4861 (multiplicity 2)  3 Te 2.50-2.56, 4 Al 2.58-2.70, 2 Co 2.75
3 Co 0.2267 0.5000 0.0873 (multiplicity 2)  3 Al 2.48-2.54, 4 Te 2.60-2.67, 2 Co 2.75
4 Te 0.2417 0.0000 0.6055 (multiplicity 2)  7 Co 2.50-2.67

Energy above the most stable structure, in kJ/mol of atoms: #w 9.8; #x 0.0